Compound: CoBr2F2
Source: the Alexandria database
Functional: PBE with a Hubbard U
Structure: relaxed

extended XYZ file:
```
5
Lattice="-1.812 1.812 6.223 1.812 -1.812 6.223 1.812 1.812 -6.223" Properties=species:S:1:pos:R:3 pbc="T T T"
Co 0.000 0.000 0.000
Br 0.000 0.000 4.898
Br 0.000 0.000 7.548
F 1.812 0.000 3.111
F 0.000 1.812 3.111
```

Values from the calculation:
theoretical density	5.22	Mg/m³
spin magnetization	3.01	μB per cell
total energy	-2.38	eV/atom
energy above the most stable polymorph in this dataset	39.15	kJ/mol of atoms
SG	No. 139